The following is a PBE calculation of crystalline SmDy6Sc6 at its relaxed geometry, from the Alexandria database.

Cell: 6.7025 10.7027 10.6599 Å, 90.00 90.00 90.00°
Space group Cmmm (No. 65)
Inequivalent atoms, fractional coordinates:
Sm 0.0000 0.0000 0.0000 [2 per cell]
Dy 0.0000 0.0000 0.3348 [4 per cell]
Dy 0.0000 0.2841 0.5000 [4 per cell]
Dy 0.0000 0.3521 0.0000 [4 per cell]
Sc 0.0000 0.5000 0.2875 [4 per cell]
Sc 0.2500 0.2500 0.2278 [8 per cell]

Values from the calculation:
- N(E_F): 22.8 states/eV/f.u.
- Energy: -5.21 eV/atom
- DFT formation energy: 19 kJ per mole of atoms